A plane-wave DFT calculation with GGA-PBE was carried out for CrSb2As after structural relaxation.

a = 7.669 Å, b = 7.669 Å, c = 7.669 Å
α = 131.89°, β = 131.89°, γ = 70.41°
Fractional positions:
Cr 0.000 0.000 0.000
Cr 0.750 0.250 0.500
Sb 0.108 0.625 0.983
Sb 0.375 0.358 0.483
Sb 0.642 0.125 0.017
Sb 0.875 0.892 0.517
As 0.250 0.750 0.500
As 0.500 0.500 0.000

## Properties
Formation energy without anion corrections = 8.5 kcal/mol of atoms
Space-group type = No. 122

***

A plane-wave DFT calculation with GGA-PBE was carried out for NaLiY3 after structural relaxation.

a = 5.522 Å, b = 5.522 Å, c = 5.522 Å
α = 90.00°, β = 90.00°, γ = 90.00°
Fractional positions:
Na 0.000 0.000 0.000
Li 0.500 0.500 0.500
Y 0.000 0.500 0.500
Y 0.500 0.000 0.500
Y 0.500 0.500 0.000

## Properties
ΔE_f = 554 meV per atom
Space-group type = No. 221

***

A plane-wave DFT calculation with GGA-PBE was carried out for AgSbOs3 after structural relaxation.

a = 4.838 Å, b = 4.838 Å, c = 4.838 Å
α = 90.00°, β = 90.00°, γ = 90.00°
Fractional positions:
Ag 0.000 0.000 0.000
Sb 0.500 0.500 0.500
Os 0.000 0.500 0.500
Os 0.500 0.000 0.500
Os 0.500 0.500 0.000

## Properties
Formation energy without anion corrections = 56.8 kcal/mol of atoms
Space-group type = No. 221

***

A plane-wave DFT calculation with GGA-PBE was carried out for ThInRuPt after structural relaxation.

a = 4.885 Å, b = 4.885 Å, c = 4.885 Å
α = 60.00°, β = 60.00°, γ = 60.00°
Fractional positions:
Th 0.000 0.000 0.000
In 0.500 0.500 0.500
Ru 0.750 0.750 0.750
Pt 0.250 0.250 0.250

## Properties
ΔE_f = -504 meV per atom
Space-group type = No. 216

***

A plane-wave DFT calculation with GGA-PBE was carried out for CeDy3Pu2P6 after structural relaxation.

a = 6.964 Å, b = 6.964 Å, c = 6.942 Å
α = 99.63°, β = 99.63°, γ = 119.99°
Fractional positions:
Ce 0.000 0.000 0.000
Dy 0.166 0.834 0.500
Dy 0.500 0.500 0.500
Dy 0.834 0.166 0.500
Pu 0.333 0.667 0.000
Pu 0.667 0.333 0.000
P 0.083 0.420 0.248
P 0.254 0.254 0.752
P 0.420 0.083 0.248
P 0.580 0.917 0.752
P 0.746 0.746 0.248
P 0.917 0.580 0.752

## Properties
ΔE_f = -1440 meV per atom
Space-group type = No. 12

***

A plane-wave DFT calculation with GGA-PBE was carried out for Ce3Zn9Pt2 after structural relaxation.

a = 8.252 Å, b = 8.252 Å, c = 8.252 Å
α = 149.44°, β = 112.95°, γ = 75.46°
Fractional positions:
Ce 0.000 0.000 0.000
Ce 0.311 0.311 0.000
Ce 0.689 0.689 0.000
Zn 0.033 0.673 0.360
Zn 0.154 0.872 0.282
Zn 0.314 0.673 0.640
Zn 0.410 0.128 0.282
Zn 0.500 0.000 0.500
Zn 0.590 0.872 0.718
Zn 0.686 0.327 0.360
Zn 0.846 0.128 0.718
Zn 0.967 0.327 0.640
Pt 0.287 0.500 0.787
Pt 0.713 0.500 0.213

## Properties
ΔE_f = -460 meV per atom
Space-group type = No. 71

***

A plane-wave DFT calculation with GGA-PBE was carried out for Pu2SiS after structural relaxation.

a = 7.017 Å, b = 7.017 Å, c = 7.017 Å
α = 33.35°, β = 33.35°, γ = 33.35°
Fractional positions:
Pu 0.247 0.247 0.247
Pu 0.753 0.753 0.753
Si 0.000 0.000 0.000
S 0.500 0.500 0.500

## Properties
Formation energy without anion corrections = -20.9 kcal/mol of atoms
Space-group type = No. 166

***

A plane-wave DFT calculation with GGA-PBE was carried out for Pm2Pr12Er after structural relaxation.

a = 6.655 Å, b = 6.655 Å, c = 25.715 Å
α = 90.00°, β = 90.00°, γ = 90.00°
Fractional positions:
Pm 0.250 0.750 0.233
Pm 0.250 0.750 0.767
Pm 0.750 0.250 0.233
Pm 0.750 0.250 0.767
Pr 0.065 0.565 0.388
Pr 0.065 0.935 0.612
Pr 0.082 0.582 0.937
Pr 0.082 0.918 0.063
Pr 0.250 0.250 0.163
Pr 0.250 0.250 0.287
Pr 0.250 0.250 0.713
Pr 0.250 0.250 0.837
Pr 0.418 0.582 0.063
Pr 0.418 0.918 0.937
Pr 0.435 0.565 0.612
Pr 0.435 0.935 0.388
Pr 0.565 0.065 0.612
Pr 0.565 0.435 0.388
Pr 0.582 0.082 0.063
Pr 0.582 0.418 0.937
Pr 0.750 0.750 0.163
Pr 0.750 0.750 0.287
Pr 0.750 0.750 0.713
Pr 0.750 0.750 0.837
Pr 0.918 0.082 0.937
Pr 0.918 0.418 0.063
Pr 0.935 0.065 0.388
Pr 0.935 0.435 0.612
Er 0.250 0.750 0.500
Er 0.750 0.250 0.500

## Properties
ΔE_f = 310 meV per atom
Space-group type = No. 125

***

A plane-wave DFT calculation with GGA-PBE was carried out for LiNpPbO5 after structural relaxation.

a = 6.015 Å, b = 6.015 Å, c = 8.100 Å
α = 104.89°, β = 104.89°, γ = 106.44°
Fractional positions:
Li 0.056 0.944 0.750
Li 0.944 0.056 0.250
Np 0.000 0.500 0.000
Np 0.500 0.000 0.500
Pb 0.433 0.567 0.750
Pb 0.567 0.433 0.250
O 0.137 0.748 0.908
O 0.197 0.309 0.907
O 0.252 0.863 0.592
O 0.309 0.197 0.407
O 0.321 0.679 0.250
O 0.679 0.321 0.750
O 0.691 0.803 0.593
O 0.748 0.137 0.408
O 0.803 0.691 0.093
O 0.863 0.252 0.092

## Properties
Formation energy without anion corrections = -49.7 kcal/mol of atoms
Space-group type = No. 15

***

A plane-wave DFT calculation with GGA-PBE was carried out for LiIn after structural relaxation.

a = 4.015 Å, b = 4.015 Å, c = 4.015 Å
α = 60.00°, β = 60.00°, γ = 60.00°
Fractional positions:
Li 0.000 0.000 0.000
In 0.500 0.500 0.500

## Properties
ΔE_f = 9 meV per atom
Space-group type = No. 225

***

A plane-wave DFT calculation with GGA-PBE was carried out for Tm2Ni after structural relaxation.

a = 6.320 Å, b = 6.320 Å, c = 7.846 Å
α = 123.75°, β = 123.75°, γ = 32.82°
Fractional positions:
Tm 0.088 0.088 0.389
Tm 0.334 0.334 0.926
Tm 0.666 0.666 0.074
Tm 0.912 0.912 0.611
Ni 0.376 0.376 0.314
Ni 0.624 0.624 0.686

## Properties
ΔE_f = -347 meV per atom
Space-group type = No. 12

***

A plane-wave DFT calculation with GGA-PBE was carried out for NdEuGdTl after structural relaxation.

a = 5.606 Å, b = 5.606 Å, c = 5.606 Å
α = 60.00°, β = 60.00°, γ = 60.00°
Fractional positions:
Nd 0.000 0.000 0.000
Eu 0.750 0.750 0.750
Gd 0.500 0.500 0.500
Tl 0.250 0.250 0.250

## Properties
ΔE_f = -74 meV per atom
Space-group type = No. 216

***

A plane-wave DFT calculation with GGA-PBE was carried out for Hg4Se2O after structural relaxation.

a = 7.385 Å, b = 7.385 Å, c = 7.385 Å
α = 137.96°, β = 137.96°, γ = 60.97°
Fractional positions:
Hg 0.000 0.500 0.500
Hg 0.175 0.175 0.000
Hg 0.500 0.000 0.500
Hg 0.825 0.825 0.000
Se 0.375 0.375 0.000
Se 0.625 0.625 0.000
O 0.000 0.000 0.000

## Properties
Formation energy without anion corrections = 0.9 kcal/mol of atoms
Space-group type = No. 139

***

A plane-wave DFT calculation with GGA-PBE was carried out for ThCd2Pb3 after structural relaxation.

a = 7.982 Å, b = 7.982 Å, c = 4.542 Å
α = 90.00°, β = 90.00°, γ = 144.41°
Fractional positions:
Th 0.000 0.000 0.000
Cd 0.334 0.666 0.000
Cd 0.666 0.334 0.000
Pb 0.172 0.828 0.500
Pb 0.500 0.500 0.500
Pb 0.828 0.172 0.500

## Properties
ΔE_f = -105 meV per atom
Space-group type = No. 65

***

A plane-wave DFT calculation with GGA-PBE was carried out for Ni2GeAu after structural relaxation.

a = 5.418 Å, b = 5.418 Å, c = 5.418 Å
α = 103.37°, β = 103.37°, γ = 122.51°
Fractional positions:
Ni 0.092 0.625 0.967
Ni 0.375 0.342 0.467
Ni 0.658 0.125 0.033
Ni 0.875 0.908 0.533
Ge 0.000 0.000 0.000
Ge 0.750 0.250 0.500
Au 0.250 0.750 0.500
Au 0.500 0.500 0.000

## Properties
ΔE_f = 75 meV per atom
Space-group type = No. 122

***

A plane-wave DFT calculation with GGA-PBE was carried out for KTe4P after structural relaxation.

a = 6.593 Å, b = 6.593 Å, c = 8.912 Å
α = 90.00°, β = 90.00°, γ = 90.00°
Fractional positions:
K 0.250 0.250 0.000
K 0.750 0.750 0.000
Te 0.096 0.596 0.308
Te 0.096 0.904 0.692
Te 0.404 0.596 0.692
Te 0.404 0.904 0.308
Te 0.596 0.096 0.692
Te 0.596 0.404 0.308
Te 0.904 0.096 0.308
Te 0.904 0.404 0.692
P 0.250 0.250 0.500
P 0.750 0.750 0.500

## Properties
Formation energy without anion corrections = -0.8 kcal/mol of atoms
Space-group type = No. 125

***

A plane-wave DFT calculation with GGA-PBE was carried out for V2TcMo after structural relaxation.

a = 8.189 Å, b = 8.189 Å, c = 8.189 Å
α = 20.45°, β = 20.45°, γ = 20.45°
Fractional positions:
V 0.249 0.249 0.249
V 0.751 0.751 0.751
Tc 0.500 0.500 0.500
Mo 0.000 0.000 0.000

## Properties
ΔE_f = 106 meV per atom
Space-group type = No. 166

***

A plane-wave DFT calculation with GGA-PBE was carried out for Zr3Cd3Rh after structural relaxation.

a = 9.545 Å, b = 9.545 Å, c = 9.545 Å
α = 60.00°, β = 60.00°, γ = 60.00°
Fractional positions:
Zr 0.084 0.084 0.666
Zr 0.084 0.666 0.084
Zr 0.084 0.666 0.666
Zr 0.334 0.334 0.916
Zr 0.334 0.916 0.334
Zr 0.334 0.916 0.916
Zr 0.666 0.084 0.084
Zr 0.666 0.084 0.666
Zr 0.666 0.666 0.084
Zr 0.916 0.334 0.334
Zr 0.916 0.334 0.916
Zr 0.916 0.916 0.334
Cd 0.000 0.500 0.500
Cd 0.285 0.285 0.285
Cd 0.285 0.285 0.645
Cd 0.285 0.645 0.285
Cd 0.355 0.715 0.715
Cd 0.500 0.000 0.500
Cd 0.500 0.500 0.000
Cd 0.500 0.500 0.500
Cd 0.645 0.285 0.285
Cd 0.715 0.355 0.715
Cd 0.715 0.715 0.355
Cd 0.715 0.715 0.715
Rh 0.000 0.000 0.000
Rh 0.000 0.000 0.500
Rh 0.000 0.500 0.000
Rh 0.500 0.000 0.000

## Properties
ΔE_f = -187 meV per atom
Space-group type = No. 227

***

A plane-wave DFT calculation with GGA-PBE was carried out for TbMoAs2 after structural relaxation.

a = 3.248 Å, b = 3.248 Å, c = 6.998 Å
α = 90.00°, β = 90.00°, γ = 90.00°
Fractional positions:
Tb 0.000 0.000 0.000
Mo 0.000 0.000 0.500
As 0.500 0.500 0.290
As 0.500 0.500 0.710

## Properties
ΔE_f = -512 meV per atom
Space-group type = No. 123

***

A plane-wave DFT calculation with GGA-PBE was carried out for PrNd2YSe4 after structural relaxation.

a = 7.290 Å, b = 4.150 Å, c = 7.346 Å
α = 90.00°, β = 108.82°, γ = 90.00°
Fractional positions:
Pr 0.000 0.000 0.000
Nd 0.500 0.000 0.500
Nd 0.500 0.500 0.000
Y 0.000 0.500 0.500
Se 0.242 0.000 0.740
Se 0.247 0.500 0.257
Se 0.753 0.500 0.743
Se 0.758 0.000 0.260

## Properties
Formation energy without anion corrections = -41.9 kcal/mol of atoms
Space-group type = No. 10

***

A plane-wave DFT calculation with GGA-PBE was carried out for Sr4InPb after structural relaxation.

a = 7.101 Å, b = 7.101 Å, c = 7.101 Å
α = 60.00°, β = 60.00°, γ = 60.00°
Fractional positions:
Sr 0.125 0.125 0.125
Sr 0.125 0.125 0.624
Sr 0.125 0.624 0.125
Sr 0.624 0.125 0.125
In 0.750 0.750 0.750
Pb 0.500 0.500 0.500

## Properties
ΔE_f = 245 meV per atom
Space-group type = No. 216

***

A plane-wave DFT calculation with GGA-PBE was carried out for CaNiIr2 after structural relaxation.

a = 2.864 Å, b = 2.864 Å, c = 7.734 Å
α = 90.00°, β = 90.00°, γ = 90.00°
Fractional positions:
Ca 0.000 0.000 0.000
Ni 0.000 0.000 0.500
Ir 0.500 0.500 0.298
Ir 0.500 0.500 0.702

## Properties
ΔE_f = 70 meV per atom
Space-group type = No. 123

***

A plane-wave DFT calculation with GGA-PBE was carried out for Sr4PdPb after structural relaxation.

a = 9.064 Å, b = 9.064 Å, c = 7.187 Å
α = 107.09°, β = 107.09°, γ = 111.77°
Fractional positions:
Sr 0.057 0.708 0.915
Sr 0.229 0.348 0.712
Sr 0.292 0.943 0.585
Sr 0.348 0.229 0.212
Sr 0.652 0.771 0.788
Sr 0.708 0.057 0.415
Sr 0.771 0.652 0.288
Sr 0.943 0.292 0.085
Pd 0.003 0.997 0.750
Pd 0.997 0.003 0.250
Pb 0.364 0.636 0.250
Pb 0.636 0.364 0.750

## Properties
ΔE_f = -447 meV per atom
Space-group type = No. 15

***

no.,density (Mg/m³)
1,5.02
2,2.92
3,11.74
4,12.96
5,7.86
6,8.98
7,9.79
8,6.26
9,6.95
10,4.42
11,9.51
12,8.77
13,9.07
14,10.63
15,10.93
16,4.98
17,8.37
18,7.71
19,9.10
20,6.58
21,4.41
22,12.65
23,4.72